1.
The following is a PBE calculation of crystalline CuAg2Rh4 at its relaxed geometry, from Alexandria.

Geometry as POSCAR:
```
CuAg2Rh4
1.0
4.497 0.000 0.000
0.000 4.497 0.000
2.248 2.248 6.650
Rh Ag Cu
4 2 1
Direct
0.500 0.000 0.000
0.000 0.500 0.000
0.176 0.176 0.649
0.824 0.824 0.351
0.376 0.376 0.249
0.624 0.624 0.751
0.000 0.000 0.000
```

Calculated values
ΔE_f	1.175	eV per atom
spin magnetization	3.65	μB/f.u.
DFT total energy	-30.98	eV per formula unit

***

2.
The following is a PBE calculation of crystalline Cu2AgRh at its relaxed geometry, from Alexandria.

Geometry as POSCAR:
```
Cu2AgRh
1.0
-0.345 -2.749 -0.309
1.730 -0.457 2.137
-5.617 0.190 4.588
Cu Ag Rh
2 1 1
Direct
0.000 0.000 0.487
0.000 0.000 0.013
0.500 0.500 0.750
0.500 0.500 0.250
```

Calculated values
ΔE_f	0.108	eV per atom
energy above the most stable polymorph in this dataset	1.6	meV/atom
spin magnetization	0.42	μB/f.u.
DFT total energy	-17.96	eV per formula unit

***

3.
The following is a PBE calculation of crystalline Cu2AgRh at its relaxed geometry, from Alexandria.

Geometry as POSCAR:
```
Cu2AgRh
1.0
2.757 0.000 0.000
0.000 2.757 0.000
0.000 0.000 7.400
Cu Ag Rh
2 1 1
Direct
0.000 0.000 0.024
0.500 0.500 0.239
0.500 0.500 0.762
0.000 0.000 0.475
```

Calculated values
ΔE_f	0.140	eV per atom
energy above the most stable polymorph in this dataset	33.4	meV/atom
spin magnetization	0.52	μB/f.u.
DFT total energy	-17.84	eV per formula unit

***

4.
The following is a PBE calculation of crystalline Cu2AgRh at its relaxed geometry, from Alexandria.

Geometry as POSCAR:
```
Cu2AgRh
1.0
5.158 0.084 0.131
2.265 4.635 -0.131
-3.130 -3.274 2.473
Cu Ag Rh
2 1 1
Direct
0.505 0.505 0.000
0.995 0.995 0.000
0.250 0.750 0.500
0.750 0.250 0.500
```

Calculated values
ΔE_f	0.220	eV per atom
energy above the most stable polymorph in this dataset	113.4	meV/atom
spin magnetization	0.00	μB/f.u.
DFT total energy	-17.52	eV per formula unit